# SmPuRu4, optimized geometry, DFT GGA-PBE
data_SmPuRu4
_space_group_name_H-M_alt 'F -4 3 m'
_space_group_IT_number 216
_space_group_name_Hall 'F -4 2 3'
_cell_length_a 7.573
_cell_length_b 7.573
_cell_length_c 7.573
_cell_angle_alpha 90.00
_cell_angle_beta 90.00
_cell_angle_gamma 90.00
loop_
_atom_site_label
_atom_site_fract_x
_atom_site_fract_y
_atom_site_fract_z
_atom_site_occupancy
Sm1 0.000 0.000 0.000 1
Pu1 0.250 0.250 0.750 1
Ru1 0.125 0.125 0.375 1
# Magnetization   3.3 μB/f.u.
# Calculated density   12216 kg/m³
# Crystal system   cubic
# Electronic total energy   -9.52 eV per atom

---

# NbB, optimized geometry, DFT GGA-PBE
data_NbB
_space_group_name_H-M_alt 'I 4/m'
_space_group_IT_number 87
_space_group_name_Hall '-I 4'
_cell_length_a 6.436
_cell_length_b 6.436
_cell_length_c 4.821
_cell_angle_alpha 90.00
_cell_angle_beta 90.00
_cell_angle_gamma 90.00
loop_
_atom_site_label
_atom_site_fract_x
_atom_site_fract_y
_atom_site_fract_z
_atom_site_occupancy
Nb1 0.071 0.695 0.000 1
B1 0.064 0.814 0.500 1
# Magnetization   0.0 μB/f.u.
# Calculated density   6900 kg/m³
# Crystal system   tetragonal
# Electronic total energy   -8.50 eV per atom

---

# LaAgGe2H, optimized geometry, DFT GGA-PBE
data_LaAgGe2H
_space_group_name_H-M_alt 'P 4/m m m'
_space_group_IT_number 123
_space_group_name_Hall '-P 4 2'
_cell_length_a 4.583
_cell_length_b 4.583
_cell_length_c 4.444
_cell_angle_alpha 90.00
_cell_angle_beta 90.00
_cell_angle_gamma 90.00
loop_
_atom_site_label
_atom_site_fract_x
_atom_site_fract_y
_atom_site_fract_z
_atom_site_occupancy
La1 0.000 0.000 0.000 1
Ag1 0.500 0.500 0.000 1
Ge1 0.000 0.500 0.500 1
H1 0.000 0.000 0.500 1
# Magnetization   0.0 μB/f.u.
# Calculated density   6994 kg/m³
# Crystal system   tetragonal
# Electronic total energy   -4.23 eV per atom

---

# Ba2ZnAg7, optimized geometry, DFT GGA-PBE
data_Ba2ZnAg7
_space_group_name_H-M_alt 'P -4 m 2'
_space_group_IT_number 115
_space_group_name_Hall 'P -4 -2'
_cell_length_a 4.821
_cell_length_b 4.821
_cell_length_c 11.001
_cell_angle_alpha 90.00
_cell_angle_beta 90.00
_cell_angle_gamma 90.00
loop_
_atom_site_label
_atom_site_fract_x
_atom_site_fract_y
_atom_site_fract_z
_atom_site_occupancy
Ba1 0.000 0.500 0.249 1
Zn1 0.000 0.000 0.500 1
Ag1 0.000 0.000 0.000 1
Ag2 0.000 0.500 0.618 1
Ag3 0.000 0.500 0.869 1
Ag4 0.500 0.500 0.000 1
Ag5 0.500 0.500 0.500 1
# Magnetization   0.0 μB/f.u.
# Calculated density   7112 kg/m³
# Crystal system   tetragonal
# Electronic total energy   -2.65 eV per atom

---

# FeTe2Pb, optimized geometry, DFT GGA-PBE
data_FeTe2Pb
_space_group_name_H-M_alt 'I -4 m 2'
_space_group_IT_number 119
_space_group_name_Hall 'I -4 -2'
_cell_length_a 4.365
_cell_length_b 4.365
_cell_length_c 11.629
_cell_angle_alpha 90.00
_cell_angle_beta 90.00
_cell_angle_gamma 90.00
loop_
_atom_site_label
_atom_site_fract_x
_atom_site_fract_y
_atom_site_fract_z
_atom_site_occupancy
Fe1 0.000 0.000 0.000 1
Te1 0.000 0.000 0.500 1
Te2 0.000 0.500 0.250 1
Pb1 0.000 0.500 0.750 1
# Magnetization   3.6 μB/f.u.
# Calculated density   7767 kg/m³
# Crystal system   tetragonal
# Electronic total energy   -4.14 eV per atom

---

# BaBe2Te, optimized geometry, DFT GGA-PBE
data_BaBe2Te
_space_group_name_H-M_alt 'C 1 2/m 1'
_space_group_IT_number 12
_space_group_name_Hall '-C 2y'
_cell_length_a 9.104
_cell_length_b 3.938
_cell_length_c 5.932
_cell_angle_alpha 90.00
_cell_angle_beta 109.86
_cell_angle_gamma 90.00
loop_
_atom_site_label
_atom_site_fract_x
_atom_site_fract_y
_atom_site_fract_z
_atom_site_occupancy
Ba1 0.000 0.000 0.000 1
Be1 0.230 0.000 0.568 1
Te1 0.000 0.500 0.500 1
# Magnetization   0.0 μB/f.u.
# Calculated density   4697 kg/m³
# Crystal system   monoclinic
# Electronic total energy   -2.97 eV per atom